No. 1
# ThB4Ir4 | OQMD | PBE | relaxed
data_ThB4Ir4
_cell_length_a 5.445
_cell_length_b 5.445
_cell_length_c 7.591
_cell_angle_alpha 90.00
_cell_angle_beta 90.00
_cell_angle_gamma 90.00
_symmetry_space_group_name_H-M 'P 1'
_symmetry_Int_Tables_number 1
loop_
_symmetry_equiv_pos_as_xyz
'x,y,z'
loop_
_atom_site_label
_atom_site_type_symbol
_atom_site_fract_x
_atom_site_fract_y
_atom_site_fract_z
B1 B 0.830 0.500 0.156
B2 B 0.000 0.330 0.656
B3 B 0.170 0.500 0.156
B4 B 0.500 0.170 0.844
B5 B 0.500 0.830 0.844
B6 B 0.670 0.000 0.344
B7 B 0.000 0.670 0.656
B8 B 0.330 0.000 0.344
Ir1 Ir 0.248 0.500 0.857
Ir2 Ir 0.500 0.752 0.143
Ir3 Ir 0.748 0.000 0.643
Ir4 Ir 0.752 0.500 0.857
Ir5 Ir 0.252 0.000 0.643
Ir6 Ir 0.000 0.252 0.357
Ir7 Ir 0.000 0.748 0.357
Ir8 Ir 0.500 0.248 0.143
Th1 Th 0.500 0.500 0.500
Th2 Th 0.000 0.000 0.000
# Calculated total energy: -0.303 hartree per atom
# Calculated volume: 12.5 Å³ per atom

No. 2
# ZnCuTcAu | OQMD | PBE | relaxed
data_ZnCuTcAu
_cell_length_a 4.405
_cell_length_b 4.405
_cell_length_c 4.405
_cell_angle_alpha 60.00
_cell_angle_beta 60.00
_cell_angle_gamma 60.00
_symmetry_space_group_name_H-M 'P 1'
_symmetry_Int_Tables_number 1
loop_
_symmetry_equiv_pos_as_xyz
'x,y,z'
loop_
_atom_site_label
_atom_site_type_symbol
_atom_site_fract_x
_atom_site_fract_y
_atom_site_fract_z
Au1 Au 0.500 0.500 0.500
Tc1 Tc 0.250 0.250 0.250
Zn1 Zn 0.000 0.000 0.000
Cu1 Cu 0.750 0.750 0.750
# Calculated total energy: -0.161 hartree per atom
# Calculated volume: 15.1 Å³ per atom
# E_form: 277 meV per atom

No. 3
# NaCuIr | OQMD | PBE | relaxed
data_NaCuIr
_cell_length_a 4.222
_cell_length_b 4.222
_cell_length_c 4.222
_cell_angle_alpha 60.00
_cell_angle_beta 60.00
_cell_angle_gamma 60.00
_symmetry_space_group_name_H-M 'P 1'
_symmetry_Int_Tables_number 1
loop_
_symmetry_equiv_pos_as_xyz
'x,y,z'
loop_
_atom_site_label
_atom_site_type_symbol
_atom_site_fract_x
_atom_site_fract_y
_atom_site_fract_z
Ir1 Ir 0.250 0.250 0.250
Na1 Na 0.750 0.750 0.750
Cu1 Cu 0.000 0.000 0.000
# Calculated total energy: -0.137 hartree per atom
# Calculated volume: 17.7 Å³ per atom

No. 4
# PrUFe | OQMD | PBE | relaxed
data_PrUFe
_cell_length_a 4.593
_cell_length_b 4.593
_cell_length_c 4.593
_cell_angle_alpha 60.00
_cell_angle_beta 60.00
_cell_angle_gamma 60.00
_symmetry_space_group_name_H-M 'P 1'
_symmetry_Int_Tables_number 1
loop_
_symmetry_equiv_pos_as_xyz
'x,y,z'
loop_
_atom_site_label
_atom_site_type_symbol
_atom_site_fract_x
_atom_site_fract_y
_atom_site_fract_z
U1 U 0.250 0.250 0.250
Pr1 Pr 0.750 0.750 0.750
Fe1 Fe 0.000 0.000 0.000
# Calculated total energy: -0.275 hartree per atom
# Calculated volume: 22.8 Å³ per atom
# E_form: 652 meV per atom

No. 5
# AcErNO | OQMD | PBE | relaxed
data_AcErNO
_cell_length_a 4.855
_cell_length_b 4.855
_cell_length_c 6.206
_cell_angle_alpha 90.00
_cell_angle_beta 90.00
_cell_angle_gamma 90.00
_symmetry_space_group_name_H-M 'P 1'
_symmetry_Int_Tables_number 1
loop_
_symmetry_equiv_pos_as_xyz
'x,y,z'
loop_
_atom_site_label
_atom_site_type_symbol
_atom_site_fract_x
_atom_site_fract_y
_atom_site_fract_z
Ac1 Ac 0.750 0.250 0.500
Ac2 Ac 0.250 0.750 0.500
Er1 Er 0.250 0.250 0.972
Er2 Er 0.750 0.750 0.028
N1 N 0.750 0.750 0.367
N2 N 0.250 0.250 0.633
O1 O 0.250 0.750 0.000
O2 O 0.750 0.250 0.000
# Calculated total energy: -0.271 hartree per atom
# Calculated volume: 18.3 Å³ per atom

No. 6
# TbGdAs | OQMD | PBE | relaxed
data_TbGdAs
_cell_length_a 4.846
_cell_length_b 4.846
_cell_length_c 4.846
_cell_angle_alpha 60.00
_cell_angle_beta 60.00
_cell_angle_gamma 60.00
_symmetry_space_group_name_H-M 'P 1'
_symmetry_Int_Tables_number 1
loop_
_symmetry_equiv_pos_as_xyz
'x,y,z'
loop_
_atom_site_label
_atom_site_type_symbol
_atom_site_fract_x
_atom_site_fract_y
_atom_site_fract_z
Tb1 Tb 0.750 0.750 0.750
As1 As 0.000 0.000 0.000
Gd1 Gd 0.250 0.250 0.250
# Calculated total energy: -0.200 hartree per atom
# Calculated volume: 26.8 Å³ per atom

No. 7
# Zn3PH3Se2O11 | OQMD | PBE | relaxed
data_Zn3PH3Se2O11
_cell_length_a 7.785
_cell_length_b 7.998
_cell_length_c 8.659
_cell_angle_alpha 66.74
_cell_angle_beta 69.00
_cell_angle_gamma 69.90
_symmetry_space_group_name_H-M 'P 1'
_symmetry_Int_Tables_number 1
loop_
_symmetry_equiv_pos_as_xyz
'x,y,z'
loop_
_atom_site_label
_atom_site_type_symbol
_atom_site_fract_x
_atom_site_fract_y
_atom_site_fract_z
O1 O 0.155 0.816 0.869
O2 O 0.144 0.072 0.303
O3 O 0.502 0.766 0.055
O4 O 0.042 0.444 0.333
O5 O 0.280 0.058 0.545
O6 O 0.498 0.234 0.945
O7 O 0.720 0.942 0.455
O8 O 0.065 0.783 0.236
O9 O 0.845 0.184 0.131
O10 O 0.160 0.395 0.956
O11 O 0.705 0.296 0.392
O12 O 0.730 0.946 0.038
O13 O 0.369 0.300 0.689
O14 O 0.676 0.516 0.625
O15 O 0.935 0.217 0.764
O16 O 0.840 0.605 0.044
O17 O 0.324 0.484 0.375
O18 O 0.270 0.054 0.962
O19 O 0.958 0.556 0.667
O20 O 0.295 0.704 0.608
O21 O 0.856 0.928 0.697
O22 O 0.631 0.700 0.311
Se1 Se 0.218 0.572 0.207
Se2 Se 0.782 0.428 0.793
Se3 Se 0.351 0.841 0.687
Se4 Se 0.649 0.159 0.313
H1 H 0.126 0.956 0.303
H2 H 0.874 0.044 0.697
H3 H 0.189 0.047 0.405
H4 H 0.596 0.103 0.982
H5 H 0.811 0.953 0.595
H6 H 0.404 0.897 0.018
Zn1 Zn 0.000 0.000 0.000
Zn2 Zn 0.500 0.500 0.500
Zn3 Zn 0.169 0.309 0.580
Zn4 Zn 0.030 0.671 0.801
Zn5 Zn 0.831 0.691 0.420
Zn6 Zn 0.970 0.329 0.199
P1 P 0.678 0.755 0.111
P2 P 0.322 0.245 0.889
# Calculated total energy: -0.197 hartree per atom
# Calculated volume: 11.2 Å³ per atom

No. 8
# PaB2Os2 | OQMD | PBE | relaxed
data_PaB2Os2
_cell_length_a 5.271
_cell_length_b 5.271
_cell_length_c 5.271
_cell_angle_alpha 136.60
_cell_angle_beta 136.60
_cell_angle_gamma 63.06
_symmetry_space_group_name_H-M 'P 1'
_symmetry_Int_Tables_number 1
loop_
_symmetry_equiv_pos_as_xyz
'x,y,z'
loop_
_atom_site_label
_atom_site_type_symbol
_atom_site_fract_x
_atom_site_fract_y
_atom_site_fract_z
B1 B 0.378 0.378 0.000
B2 B 0.622 0.622 0.000
Pa1 Pa 0.000 0.000 0.000
Os1 Os 0.750 0.250 0.500
Os2 Os 0.250 0.750 0.500
# Calculated total energy: -0.346 hartree per atom
# Calculated volume: 13.7 Å³ per atom